No. 1
Density functional theory data (PBE) for Ac5NdIr4 after structural relaxation.

abc: 18.6071 4.3589 8.4407
angles: 90.00 105.06 90.00
With the nearest neighbours (Å) after each atom.
Space group C2/m (No. 12)
One atom of each set of equivalent atoms:
Ac: 0.0000 0.0000 0.0000 x2  4 Ir 3.01
Ac: 0.1610 0.5000 0.8284 x4  3 Ir 2.91-2.92
Ac: 0.1655 0.5000 0.3570 x4  4 Ir 2.96-3.01
Nd: 0.0000 0.0000 0.5000 x2  6 Ir 3.05-3.07
Ir: 0.0012 0.5000 0.2472 x4  4 Ac 2.92-3.01, 2 Nd 3.05
Ir: 0.1709 0.0000 0.6064 x4  5 Ac 2.91-3.01, 1 Nd 3.07

Magnetic moment = 0.00 μB/f.u.
Formation energy from the elements = -0.56 eV/atom
Energy relative to the lowest polymorph listed for this composition = 0 meV/atom
DOS(E_F) = 0.582 states/eV/atom
Energy = -0.2439 Ha/atom

***

No. 2
Density functional theory data (PBE) for BeIn2Ni after structural relaxation.

abc: 6.3816 6.3816 6.3816
angles: 90.00 90.00 90.00
With the nearest neighbours (Å) after each atom.
Space group Fm-3m (No. 225)
One atom of each set of equivalent atoms:
Be: 0.0000 0.0000 0.0000 x4  8 In 2.76
In: 0.2500 0.2500 0.2500 x8  4 Ni 2.76, 4 Be 2.76
Ni: 0.0000 0.0000 0.5000 x4  8 In 2.76

Magnetic moment = 0.00 μB/f.u.
Formation energy from the elements = 0.32 eV/atom
Energy relative to the lowest polymorph listed for this composition = 259 meV/atom
DOS(E_F) = 0.636 states/eV/atom
Energy = -0.1258 Ha/atom

***

No. 3
Density functional theory data (PBE) for SbTe2PtRh after structural relaxation.

abc: 5.1851 5.1851 4.9428
angles: 90.00 90.00 90.00
With the nearest neighbours (Å) after each atom.
Space group P4/mmm (No. 123)
One atom of each set of equivalent atoms:
Sb: 0.0000 0.0000 0.0000 x1  2 Rh 2.47
Te: 0.0000 0.5000 0.5000 x2  2 Rh 2.59
Pt: 0.5000 0.5000 0.0000 x1  8 Te 3.58, 4 Sb 3.67
Rh: 0.0000 0.0000 0.5000 x1  2 Sb 2.47, 4 Te 2.59

Magnetic moment = 0.00 μB/f.u.
Energy relative to the lowest polymorph listed for this composition = 0 meV/atom
DOS(E_F) = 0.718 states/eV/atom
Energy = -0.1514 Ha/atom

***

No. 4
Density functional theory data (PBE) for Tm2Zn16Sn after structural relaxation.

abc: 9.1452 9.1452 13.0061
angles: 90.00 90.00 120.00
With the nearest neighbours (Å) after each atom.
Space group R3m (No. 160, hexagonal axes)
One atom of each set of equivalent atoms:
Tm: 0.0000 0.0000 0.0000 x3  13 Zn 3.02-3.34
Tm: 0.0000 0.0000 0.3197 x3  12 Zn 3.13-3.28, 1 Sn 3.15
Zn: 0.0000 0.0000 0.7679 x3  6 Zn 2.64-2.86, 1 Sn 2.68
Zn: 0.0190 0.3510 0.3297 x18  8 Zn 2.60-2.90
Zn: 0.0225 0.5113 0.8193 x9  8 Zn 2.53-2.80
Zn: 0.1713 0.3425 0.8382 x9  8 Zn 2.53-2.71
Zn: 0.1749 0.3497 0.4970 x9  9 Zn 2.60-2.80, 1 Sn 2.89
Sn: 0.0000 0.0000 0.5616 x3  7 Zn 2.68-2.99

Magnetic moment = 0.00 μB/f.u.
Formation energy from the elements = -0.19 eV/atom
DOS(E_F) = 0.350 states/eV/atom
Energy = -0.0714 Ha/atom

***

No. 5
Density functional theory data (PBE) for TiAu2O2 after structural relaxation.

abc: 3.5641 3.5641 13.9906
angles: 90.00 90.00 90.00
With the nearest neighbours (Å) after each atom.
Space group I4/mmm (No. 139)
One atom of each set of equivalent atoms:
Ti: 0.0000 0.0000 0.0000 x2  8 O 2.63
Au: 0.0000 0.5000 0.2500 x4  4 Au 2.52
O: 0.0000 0.0000 0.4463 x4  1 O 1.50

Magnetic moment = 1.77 μB/f.u.
Energy relative to the lowest polymorph listed for this composition = 1268 meV/atom
DOS(E_F) = 0.434 states/eV/atom
Energy = -0.1756 Ha/atom

***

No. 6
Density functional theory data (PBE) for YTl3In3I8 after structural relaxation.

abc: 16.8340 10.0457 9.8965
angles: 90.00 123.13 90.00
With the nearest neighbours (Å) after each atom.
Space group C2/m (No. 12)
One atom of each set of equivalent atoms:
Y: 0.0000 0.0000 0.0000 x2  6 I 3.08
Tl: 0.0000 0.0000 0.5000 x2  6 I 3.55-3.56
Tl: 0.2500 0.2500 0.0000 x4  6 I 3.55-3.56
In: 0.0000 0.5000 0.0000 x2  6 I 3.51-3.55
In: 0.2500 0.2500 0.5000 x4  6 I 3.50-3.56
I: 0.0011 0.2191 0.2180 x8  1 Y 3.08
I: 0.2178 0.0000 0.2201 x4  1 Y 3.08
I: 0.2482 0.5000 0.2523 x4  3 In 3.50-3.51, 3 Tl 3.55

Magnetic moment = 0.27 μB/f.u.
DOS(E_F) = 0.416 states/eV/atom
Energy = -0.1085 Ha/atom

***

No. 7
Density functional theory data (PBE) for As2Ru after structural relaxation.

abc: 8.2093 5.7167 4.5960
angles: 90.00 90.00 90.00
With the nearest neighbours (Å) after each atom.
Space group Cmcm (No. 63)
One atom of each set of equivalent atoms:
As: 0.1550 0.2348 0.2500 x8  3 As 2.55-2.78, 3 Ru 2.55-2.67
Ru: 0.0000 0.1514 0.7500 x4  6 As 2.55-2.67

Magnetic moment = 0.00 μB/f.u.
Formation energy from the elements = 0.13 eV/atom
DOS(E_F) = 0.427 states/eV/atom
Energy = -0.2229 Ha/atom

***

No. 8
Density functional theory data (PBE) for MnFe2Bi after structural relaxation.

abc: 4.2562 4.2562 14.7742
angles: 90.00 90.00 90.00
With the nearest neighbours (Å) after each atom.
Space group I-42d (No. 122)
One atom of each set of equivalent atoms:
Mn: 0.0000 0.0000 0.0000 x4  4 Fe 2.20
Fe: 0.1256 0.2500 0.1250 x8  2 Mn 2.20, 2 Fe 2.38
Bi: 0.0000 0.0000 0.5000 x4  4 Fe 2.66

Magnetic moment = 0.00 μB/f.u.
Formation energy from the elements = 0.95 eV/atom
DOS(E_F) = 1.242 states/eV/atom
Energy = -0.2406 Ha/atom

***

No. 9
Density functional theory data (PBE) for La12Au5N2 after structural relaxation.

abc: 16.7466 7.6330 9.6846
angles: 90.00 106.52 90.00
With the nearest neighbours (Å) after each atom.
Space group C2/m (No. 12)
One atom of each set of equivalent atoms:
La: 0.0005 0.0000 0.1850 x4  2 N 2.58
La: 0.0048 0.5000 0.8244 x4  2 N 2.61
La: 0.1486 0.2533 0.5686 x8  4 Au 3.04-3.11
La: 0.1544 0.2482 0.0826 x8  1 N 2.48
Au: 0.0000 0.5000 0.5000 x2  6 La 3.04-3.12
Au: 0.1883 0.0000 0.8306 x4  7 La 3.11-3.26
Au: 0.1999 0.0000 0.3620 x4  7 La 3.07-3.29
N: 0.0000 0.2443 0.0000 x4  6 La 2.48-2.61

Magnetic moment = 0.00 μB/f.u.
DOS(E_F) = 1.131 states/eV/atom
Energy = -0.2019 Ha/atom

***

No. 10
Density functional theory data (PBE) for LaVZn2 after structural relaxation.

abc: 6.9594 6.9594 6.9594
angles: 90.00 90.00 90.00
With the nearest neighbours (Å) after each atom.
Space group Fm-3m (No. 225)
One atom of each set of equivalent atoms:
La: 0.0000 0.0000 0.0000 x4  8 Zn 3.01
V: 0.0000 0.0000 0.5000 x4  8 Zn 3.01
Zn: 0.2500 0.2500 0.2500 x8  4 La 3.01, 4 V 3.01

Magnetic moment = 3.30 μB/f.u.
Formation energy from the elements = 0.08 eV/atom
Energy relative to the lowest polymorph listed for this composition = 0 meV/atom
DOS(E_F) = 0.960 states/eV/atom
Energy = -0.1495 Ha/atom

***

No. 11
Density functional theory data (PBE) for KMoPb3 after structural relaxation.

abc: 5.8238 5.8238 5.8238
angles: 90.00 90.00 90.00
With the nearest neighbours (Å) after each atom.
Space group Pm-3m (No. 221)
One atom of each set of equivalent atoms:
K: 0.0000 0.0000 0.0000 x1  6 Pb 2.91
Mo: 0.5000 0.5000 0.5000 x1  12 Pb 4.12
Pb: 0.0000 0.0000 0.5000 x3  2 K 2.91

Magnetic moment = 4.57 μB/f.u.
Formation energy from the elements = 1.73 eV/atom
Energy relative to the lowest polymorph listed for this composition = 1486 meV/atom
DOS(E_F) = 0.896 states/eV/atom
Energy = -0.1058 Ha/atom

***

No. 12
Density functional theory data (PBE) for NbCd2Ni after structural relaxation.

abc: 2.8799 2.8799 31.0136
angles: 90.00 90.00 120.00
With the nearest neighbours (Å) after each atom.
Space group R-3m (No. 166, hexagonal axes)
One atom of each set of equivalent atoms:
Nb: 0.0000 0.0000 0.0000 x3  6 Nb 2.88, 2 Cd 3.00
Cd: 0.0000 0.0000 0.0968 x6  3 Ni 2.73, 6 Cd 2.88, 1 Nb 3.00
Ni: 0.0000 0.0000 0.5000 x3  6 Cd 2.73, 6 Ni 2.88

Magnetic moment = 0.23 μB/f.u.
Formation energy from the elements = 0.46 eV/atom
Energy relative to the lowest polymorph listed for this composition = 74 meV/atom
DOS(E_F) = 1.102 states/eV/atom
Energy = -0.1456 Ha/atom